# 1
Pm3Er8Tm: optimized geometry, PBE-GGA.

ΔH_f (0 K)	0.2998	eV per atom
ρ	7912	kg/m³
electronic total energy	-4.30	eV/atom

Lattice parameters (Å, degrees): 8.596 8.596 8.596 136.24 98.60 97.37
Sites, in units of the cell vectors:
Pm  0.000  0.000  0.000
Pm  0.254  0.754  0.500
Pm  0.746  0.246  0.500
Er  0.083  0.251  0.832
Er  0.256  0.247  0.503
Er  0.256  0.753  0.009
Er  0.419  0.251  0.168
Er  0.581  0.749  0.832
Er  0.744  0.247  0.991
Er  0.744  0.753  0.497
Er  0.917  0.749  0.168
Tm  0.500  0.500  0.000

***

# 2
PmEr3Tm4: optimized geometry, PBE-GGA.

ΔH_f (0 K)	0.0019	eV per atom
ρ	8833	kg/m³
electronic total energy	-4.54	eV/atom
energy relative to the lowest polymorph listed for this composition	0.000	eV/atom

Lattice parameters (Å, degrees): 11.131 7.194 6.210 90.00 90.00 90.00
Sites, in units of the cell vectors:
Pm  0.000  0.127  0.000
Pm  0.500  0.873  0.500
Er  0.000  0.874  0.499
Er  0.250  0.127  0.334
Er  0.250  0.873  0.834
Er  0.500  0.126  0.999
Er  0.750  0.127  0.334
Er  0.750  0.873  0.834
Tm  0.000  0.377  0.501
Tm  0.000  0.624  0.000
Tm  0.248  0.623  0.334
Tm  0.252  0.377  0.834
Tm  0.500  0.376  0.500
Tm  0.500  0.623  0.001
Tm  0.748  0.377  0.834
Tm  0.752  0.623  0.334

***

# 3
Pm10Er4Tm: optimized geometry, PBE-GGA.

ΔH_f (0 K)	0.6941	eV per atom
ρ	6528	kg/m³
electronic total energy	-3.99	eV/atom

Lattice parameters (Å, degrees): 9.495 9.495 9.495 99.57 99.57 131.88
Sites, in units of the cell vectors:
Pm  0.050  0.350  0.900
Pm  0.151  0.050  0.700
Pm  0.250  0.750  0.500
Pm  0.350  0.450  0.300
Pm  0.450  0.151  0.100
Pm  0.550  0.849  0.900
Pm  0.650  0.550  0.700
Pm  0.750  0.250  0.500
Pm  0.849  0.950  0.300
Pm  0.950  0.650  0.100
Er  0.100  0.700  0.800
Er  0.300  0.100  0.400
Er  0.700  0.900  0.600
Er  0.900  0.300  0.200
Tm  0.500  0.500  0.000

***

# 4
PmEr2Tm2: optimized geometry, PBE-GGA.

ΔH_f (0 K)	0.1205	eV per atom
ρ	8498	kg/m³
electronic total energy	-4.44	eV/atom
energy relative to the lowest polymorph listed for this composition	0.035	eV/atom

Lattice parameters (Å, degrees): 3.481 8.592 8.592 38.42 90.00 90.00
Sites, in units of the cell vectors:
Pm  0.000  0.000  0.000
Er  0.000  0.381  0.381
Er  0.500  0.573  0.573
Tm  0.000  0.762  0.762
Tm  0.500  0.192  0.192

***

> What is the ΔH_f (0 K) in the second record?

0.0019 eV per atom

***

> Look up the ΔH_f (0 K) of the second one.

0.0019 eV per atom

***

> Among the records above, which one has the lowest ΔH_f (0 K)?

PmEr3Tm4

***

> Among the records above, which one has the highest ρ?

PmEr3Tm4